## La2GeS (PBE)

Data for an optimized crystal structure of La2GeS.

Unit cell a=7.3979 b=7.3979 c=7.3979 alpha=90.00 beta=90.00 gamma=90.00
Last column: nearest neighbours and their distance in Å.
Sites, in units of the cell vectors:
La 0.2500 0.2500 0.2500  4 Ge 3.20, 4 S 3.20
La 0.2500 0.2500 0.7500  4 S 3.20, 4 Ge 3.20
La 0.2500 0.7500 0.2500  4 S 3.20, 4 Ge 3.20
La 0.2500 0.7500 0.7500  4 Ge 3.20, 4 S 3.20
La 0.7500 0.2500 0.2500  4 S 3.20, 4 Ge 3.20
La 0.7500 0.2500 0.7500  4 Ge 3.20, 4 S 3.20
La 0.7500 0.7500 0.2500  4 Ge 3.20, 4 S 3.20
La 0.7500 0.7500 0.7500  4 S 3.20, 4 Ge 3.20
Ge 0.0000 0.0000 0.0000  8 La 3.20
Ge 0.0000 0.5000 0.5000  8 La 3.20
Ge 0.5000 0.0000 0.5000  8 La 3.20
Ge 0.5000 0.5000 0.0000  8 La 3.20
S 0.0000 0.0000 0.5000  8 La 3.20
S 0.0000 0.5000 0.0000  8 La 3.20
S 0.5000 0.0000 0.0000  8 La 3.20
S 0.5000 0.5000 0.5000  8 La 3.20

Computed properties:
As for the density of states at the Fermi level: 0.196 states/eV per atom. For the total energy, the calculation gives -23.2 eV/f.u. The excess energy over the best structure of this formula in the dataset is 370 meV/atom. The uncorrected formation energy comes out at -447 kJ/mol of formula units. The value obtained for the magnetic moment is 0.00 μB/f.u. Its space group is Fm-3m.